VASP calculation (PBE-GGA) on a relaxed SrAsIr2 crystal.

Values from the calculation:
symmetry	R3m (160)
total moment	0.000	Bohr magnetons per cell
DFT formation energy	-307	meV/atom
calculated volume	22.2	Å³ per atom

Unit cell a=5.978 b=5.978 c=5.978 alpha=42.61 beta=42.61 gamma=42.61
Fractional positions:
Sr 0.000 0.000 0.000
As 0.797 0.797 0.797
Ir 0.199 0.199 0.199
Ir 0.527 0.527 0.527